La3AgAu2 | PBE | relaxed

The space group is P4/mmm (No. 123) and the conventional cell measures 3.782, 3.782 and 11.457 Å, with angles of 90.00, 90.00 and 90.00 degrees. The inequivalent atoms are La at (0.000, 0.000, 0.000), La at (0.000, 0.000, 0.328), Ag at (0.500, 0.500, 0.500) and Au at (0.500, 0.500, 0.168).

Its spin magnetization is 0.0 μB per cell. The density comes out at 9.31 g/cm3. The calculation puts the density of states at the Fermi level at 0.7795 states/eV/atom. Its relative energy among the computed polymorphs is 0 meV/atom.